## PHF2 (GGA-PBE)

Data for a relaxed PHF2 crystal.

Structure (POSCAR):
```
PHF2
1.0
4.506 0.000 0.000
0.000 4.506 0.000
0.000 0.000 7.245
P H F
4 4 8
Cartesian
0.000 0.000 0.000 P
0.000 2.253 1.811 P
2.253 0.000 5.433 P
2.253 2.253 3.622 P
0.000 0.000 3.622 H
0.000 2.253 5.433 H
2.253 0.000 1.811 H
2.253 2.253 0.000 H
0.337 3.380 4.528 F
1.127 0.337 2.717 F
1.127 1.916 6.339 F
1.916 3.380 0.906 F
2.590 1.127 0.906 F
3.380 2.590 6.339 F
3.380 4.169 2.717 F
4.169 1.127 4.528 F
```

Properties
M_tot ... 0.00 μB per cell
Energy above the lowest structure with this stoichiometry ... 1086 meV per atom
SG ... I-42d, No. 122
V ... 9.2 Å³ per atom

=====

## PH2F6 (GGA-PBE)

Data for a relaxed PH2F6 crystal.

Structure (POSCAR):
```
PH2F6
1.0
5.498 -5.470 0.000
5.498 5.470 0.000
-1.660 0.000 4.127
P H F
2 4 12
Cartesian
4.253 3.120 3.095 P
5.083 -3.120 1.032 P
2.793 0.096 2.311 H
3.623 -0.096 0.248 H
5.712 0.096 3.879 H
6.542 -0.096 1.816 H
3.787 4.116 1.973 F
2.752 2.863 3.698 F
6.378 4.116 0.091 F
3.164 0.543 1.513 F
5.753 2.863 2.492 F
2.334 -0.543 3.576 F
7.001 0.543 0.550 F
3.582 -2.863 1.635 F
6.171 -0.543 2.614 F
2.957 -4.116 4.036 F
6.583 -2.863 0.428 F
5.548 -4.116 2.154 F
```

Properties
M_tot ... 2.00 μB per cell
SG ... C2/c, No. 15
V ... 13.8 Å³ per atom
Calculated total energy ... -4.52 eV/atom

=====

## PHF2 (GGA-PBE)

Data for a relaxed PHF2 crystal.

Structure (POSCAR):
```
PHF2
1.0
5.345 0.000 0.000
0.000 5.345 0.000
0.000 0.000 5.345
P H F
4 4 8
Cartesian
0.000 0.000 0.000 P
0.000 2.673 2.673 P
2.673 0.000 2.673 P
2.673 2.673 0.000 P
0.000 0.000 2.673 H
0.000 2.673 0.000 H
2.673 0.000 0.000 H
2.673 2.673 2.673 H
1.336 1.336 1.336 F
1.336 1.336 4.009 F
1.336 4.009 1.336 F
1.336 4.009 4.009 F
4.009 1.336 1.336 F
4.009 1.336 4.009 F
4.009 4.009 1.336 F
4.009 4.009 4.009 F
```

Properties
M_tot ... 0.01 μB per cell
Energy above the lowest structure with this stoichiometry ... 1468 meV per atom
SG ... Fm-3m, No. 225
V ... 9.5 Å³ per atom

=====

## PHF5 (GGA-PBE)

Data for a relaxed PHF5 crystal.

Structure (POSCAR):
```
PHF5
1.0
-4.062 5.244 2.689
4.062 -5.244 2.689
4.062 5.244 -2.689
P H F
2 2 10
Cartesian
0.000 0.000 0.000 P
0.000 5.244 0.000 P
4.062 2.622 0.733 H
0.000 2.622 1.956 H
1.152 1.123 0.277 F
6.971 1.123 0.277 F
4.062 2.622 -0.210 F
1.152 4.122 0.277 F
2.909 -1.123 2.966 F
1.152 6.367 -0.277 F
2.909 1.123 2.413 F
0.000 2.622 2.899 F
-2.909 4.122 2.413 F
2.909 4.122 2.413 F
```

Properties
M_tot ... 2.00 μB per cell
SG ... Imma, No. 74
V ... 16.4 Å³ per atom
Calculated total energy ... -4.33 eV/atom

=====

## P2H8F (GGA-PBE)

Data for a relaxed P2H8F crystal.

Structure (POSCAR):
```
P2H8F
1.0
5.604 -4.025 0.000
5.604 4.025 0.000
-4.675 0.000 5.544
P H F
4 16 2
Cartesian
0.492 2.034 4.564 P
3.702 2.034 3.753 P
2.829 -2.034 1.792 P
6.040 -2.034 0.981 P
1.435 1.001 0.689 H
-0.125 1.445 3.357 H
2.496 2.668 3.190 H
1.698 2.668 5.126 H
4.829 1.101 0.024 H
-0.903 -1.001 3.461 H
2.212 -1.445 0.585 H
4.041 1.101 2.748 H
2.491 -1.101 2.796 H
4.320 1.445 4.959 H
7.434 1.001 2.083 H
1.703 -1.101 5.520 H
4.834 -2.668 0.418 H
4.035 -2.668 2.354 H
6.657 -1.445 2.187 H
5.097 -1.001 4.855 H
2.097 0.566 4.158 F
4.435 -0.566 1.386 F
```

Properties
M_tot ... 0.00 μB per cell
SG ... C2/c, No. 15
V ... 11.4 Å³ per atom
Calculated total energy ... -3.72 eV/atom

=====

## PHF (GGA-PBE)

Data for a relaxed PHF crystal.

Structure (POSCAR):
```
PHF
1.0
11.290 0.000 0.000
0.000 3.488 0.000
-1.994 0.000 4.916
P H F
4 4 4
Cartesian
0.000 0.000 0.000 P
-0.637 1.744 4.598 P
5.645 1.744 0.000 P
5.008 0.000 4.598 P
-0.832 1.744 3.193 H
4.293 1.744 0.414 H
4.813 0.000 3.193 H
9.938 0.000 0.414 H
0.406 0.000 1.653 F
3.092 1.744 3.327 F
6.051 1.744 1.653 F
8.737 0.000 3.327 F
```

Properties
M_tot ... 0.00 μB per cell
Energy above the lowest structure with this stoichiometry ... 31 meV per atom
SG ... Cm, No. 8
V ... 16.1 Å³ per atom

=====

## PH3F (GGA-PBE)

Data for a relaxed PH3F crystal.

Structure (POSCAR):
```
PH3F
1.0
3.270 0.000 0.000
0.000 3.270 0.000
0.000 0.000 3.270
P H F
1 3 1
Cartesian
0.000 0.000 0.000 P
0.000 0.000 1.635 H
0.000 1.635 0.000 H
1.635 0.000 0.000 H
1.635 1.635 1.635 F
```

Properties
M_tot ... 0.00 μB per cell
Energy above the lowest structure with this stoichiometry ... 514 meV per atom
SG ... Pm-3m, No. 221
V ... 7.0 Å³ per atom

=====

## PHF3 (GGA-PBE)

Data for a relaxed PHF3 crystal.

Structure (POSCAR):
```
PHF3
1.0
3.506 0.000 0.000
0.000 3.506 0.000
0.000 0.000 3.506
P H F
1 1 3
Cartesian
0.000 0.000 0.000 P
1.753 1.753 1.753 H
0.000 1.753 1.753 F
1.753 0.000 1.753 F
1.753 1.753 0.000 F
```

Properties
M_tot ... 0.00 μB per cell
Energy above the lowest structure with this stoichiometry ... 1216 meV per atom
SG ... Pm-3m, No. 221
V ... 8.6 Å³ per atom

=====

Number 7 is which compound?
PH3F

=====

What is the V in the sixth record?
16.1 Å³ per atom